[1]
# Cd2GeTe2F2

Cd2GeTe2F2 after structural relaxation (GGA-PBE, OQMD via LeMat-Bulk).

Its space-group type is P-4m2 (115). As for the crystal system: tetragonal. For the total energy, the calculation gives -3.259 eV per atom.

a = 3.973 Å, b = 3.973 Å, c = 9.571 Å
α = 90.00°, β = 90.00°, γ = 90.00°
Fractional positions:
Cd 0.000 0.500 0.142
Cd 0.500 0.000 0.858
Ge 0.000 0.000 0.500
Te 0.000 0.500 0.702
Te 0.500 0.000 0.298
F 0.000 0.000 0.000
F 0.500 0.500 0.000



[2]
# Tl2CdGeF6

Tl2CdGeF6 after structural relaxation (GGA-PBE, OQMD via LeMat-Bulk).

Its space-group type is Fm-3m (225). As for the crystal system: cubic. For the total energy, the calculation gives -4.080 eV per atom.

a = 6.117 Å, b = 6.117 Å, c = 6.117 Å
α = 60.00°, β = 60.00°, γ = 60.00°
Fractional positions:
Tl 0.250 0.250 0.250
Tl 0.750 0.750 0.750
Cd 0.000 0.000 0.000
Ge 0.500 0.500 0.500
F 0.253 0.253 0.747
F 0.253 0.747 0.253
F 0.253 0.747 0.747
F 0.747 0.253 0.253
F 0.747 0.253 0.747
F 0.747 0.747 0.253



[3]
# CdH2F4

CdH2F4 after structural relaxation (GGA-PBE, OQMD via LeMat-Bulk).

Its space-group type is Fddd (70). As for the crystal system: orthorhombic. For the total energy, the calculation gives -3.994 eV per atom.

a = 6.990 Å, b = 5.670 Å, c = 5.647 Å
α = 76.29°, β = 52.00°, γ = 51.71°
Fractional positions:
Cd 0.125 0.125 0.125
Cd 0.875 0.875 0.875
H 0.254 0.496 0.254
H 0.496 0.254 0.496
H 0.504 0.746 0.504
H 0.746 0.504 0.746
F 0.176 0.722 0.342
F 0.260 0.342 0.722
F 0.278 0.824 0.740
F 0.342 0.260 0.176
F 0.658 0.740 0.824
F 0.722 0.176 0.260
F 0.740 0.658 0.278
F 0.824 0.278 0.658



[4]
# CdHOF

CdHOF after structural relaxation (GGA-PBE, OQMD via LeMat-Bulk).

Its space-group type is P2_12_12_1 (19). As for the crystal system: orthorhombic. The calculation puts the relative energy among the computed polymorphs at 0 meV per atom. For the total energy, the calculation gives -4.302 eV per atom.

a = 4.752 Å, b = 5.578 Å, c = 6.794 Å
α = 90.00°, β = 90.00°, γ = 90.00°
Fractional positions:
Cd 0.235 0.017 0.127
Cd 0.265 0.983 0.627
Cd 0.735 0.483 0.873
Cd 0.765 0.517 0.373
H 0.179 0.485 0.118
H 0.321 0.515 0.618
H 0.679 0.015 0.882
H 0.821 0.985 0.382
O 0.013 0.377 0.122
O 0.487 0.623 0.622
O 0.513 0.123 0.878
O 0.987 0.877 0.378
F 0.039 0.352 0.625
F 0.461 0.648 0.125
F 0.539 0.148 0.375
F 0.961 0.852 0.875



[5]
# CdHOF

CdHOF after structural relaxation (GGA-PBE, OQMD via LeMat-Bulk).

Its space-group type is P6_3mc (186). As for the crystal system: hexagonal. The calculation puts the relative energy among the computed polymorphs at 57 meV per atom. For the total energy, the calculation gives -4.244 eV per atom.

a = 3.510 Å, b = 3.510 Å, c = 8.587 Å
α = 90.00°, β = 90.00°, γ = 120.00°
Fractional positions:
Cd 0.333 0.667 0.000
Cd 0.667 0.333 0.500
H 0.000 0.000 0.217
H 0.000 0.000 0.717
O 0.000 0.000 0.103
O 0.000 0.000 0.603
F 0.333 0.667 0.356
F 0.667 0.333 0.856



[6]
# CdHOF

CdHOF after structural relaxation (GGA-PBE, OQMD via LeMat-Bulk).

Its space-group type is P2_1/c (14). As for the crystal system: monoclinic. The calculation puts the relative energy among the computed polymorphs at 36 meV per atom. For the total energy, the calculation gives -4.266 eV per atom.

a = 5.303 Å, b = 6.921 Å, c = 5.852 Å
α = 90.00°, β = 118.08°, γ = 90.00°
Fractional positions:
Cd 0.033 0.122 0.270
Cd 0.033 0.378 0.770
Cd 0.967 0.622 0.230
Cd 0.967 0.878 0.730
H 0.436 0.120 0.772
H 0.436 0.380 0.272
H 0.564 0.620 0.728
H 0.564 0.880 0.228
O 0.225 0.120 0.703
O 0.225 0.380 0.203
O 0.775 0.620 0.797
O 0.775 0.880 0.297
F 0.249 0.634 0.680
F 0.249 0.866 0.180
F 0.751 0.134 0.820
F 0.751 0.366 0.320